No. 1
Here is an optimized crystal structure of MgP2PtS from the Alexandria database. Energies are from PBE.

Cell: 4.5752 4.5752 5.2256 Å, 90.00 90.00 90.00°
Last column: nearest neighbours and their distance in Å.
Fractional coordinates of all 5 atoms:
P1 0.0000 0.5000 0.0000  2 Pt 2.29
P2 0.5000 0.0000 0.0000  2 Pt 2.29
S1 0.0000 0.0000 0.5000  2 Pt 2.61
Mg1 0.5000 0.5000 0.5000  4 S 3.24, 8 P 3.47
Pt1 0.0000 0.0000 0.0000  4 P 2.29

E_tot = -20.52 eV per cell
Space-group type = P4/mmm (123)
Formation energy without anion corrections = 2.1 eV per formula unit
N(E_F) = 0.7254 states/eV per atom



No. 2
Here is an optimized crystal structure of MoPt4Se2 from the Alexandria database. Energies are from PBE.

Cell: 4.9211 4.9211 7.2289 Å, 70.10 70.10 90.00°
Last column: nearest neighbours and their distance in Å.
Fractional coordinates of all 7 atoms:
Mo1 0.0000 0.0000 0.0000  6 Pt 2.46
Se1 0.6153 0.6153 0.7695  1 Pt 2.42
Se2 0.3847 0.3847 0.2305  1 Pt 2.42
Pt1 0.8062 0.8062 0.3877  1 Se 2.42, 1 Mo 2.46
Pt2 0.1938 0.1938 0.6123  1 Se 2.42, 1 Mo 2.46
Pt3 0.0000 0.5000 0.0000  2 Mo 2.46
Pt4 0.5000 0.0000 0.0000  2 Mo 2.46

E_tot = -35.97 eV per cell
Space-group type = I4/mmm (139)
Formation energy without anion corrections = 6.0 eV per formula unit
N(E_F) = 0.9964 states/eV per atom



No. 3
Here is an optimized crystal structure of Y5TlOs2 from the Alexandria database. Energies are from PBE.

Cell: 7.7044 7.7044 8.8679 Å, 115.75 115.75 90.00°
Last column: nearest neighbours and their distance in Å.
Fractional coordinates of all 16 atoms:
Y1 0.5331 0.7027 0.7358  3 Os 2.87-2.96
Y2 0.7973 0.9669 0.2642  3 Os 2.87-2.96
Y3 0.0000 0.0000 0.0000  4 Os 3.01
Y4 0.5000 0.5000 0.0000  4 Os 3.01
Y5 0.2027 0.0331 0.7358  3 Os 2.87-2.96
Y6 0.7027 0.2027 0.7358  3 Os 2.87-2.96
Y7 0.0331 0.5331 0.7358  3 Os 2.87-2.96
Y8 0.2973 0.7973 0.2642  3 Os 2.87-2.96
Y9 0.9669 0.4669 0.2642  3 Os 2.87-2.96
Y10 0.4669 0.2973 0.2642  3 Os 2.87-2.96
Tl1 0.7500 0.7500 0.5000  10 Y 3.32-3.50
Tl2 0.2500 0.2500 0.5000  10 Y 3.32-3.50
Os1 0.1328 0.3672 0.0000  8 Y 2.87-3.01, 1 Os 2.89
Os2 0.6328 0.1328 0.0000  8 Y 2.87-3.01, 1 Os 2.89
Os3 0.3672 0.8672 0.0000  8 Y 2.87-3.01, 1 Os 2.89
Os4 0.8672 0.6328 0.0000  8 Y 2.87-3.01, 1 Os 2.89

E_tot = -119.05 eV per cell
Space-group type = I4/mcm (140)
Energy of formation from the pure elements = -0.297 eV per atom
N(E_F) = 0.5997 states/eV per atom



No. 4
Here is an optimized crystal structure of Cd2TcTeS from the Alexandria database. Energies are from PBE.

Cell: 5.0049 5.3910 5.0049 Å, 90.00 90.00 90.00°
Last column: nearest neighbours and their distance in Å.
Fractional coordinates of all 5 atoms:
S1 0.0000 0.0000 0.0000  4 Cd 2.50, 2 Te 2.70
Te1 0.0000 0.5000 0.0000  2 S 2.70
Tc1 0.5000 0.5000 0.5000  4 Te 3.54, 8 Cd 3.68
Cd1 0.0000 0.0000 0.5000  2 S 2.50
Cd2 0.5000 0.0000 0.0000  2 S 2.50

E_tot = -14.38 eV per cell
Space-group type = P4/mmm (123)
Formation energy without anion corrections = 5.1 eV per formula unit
N(E_F) = 1.0402 states/eV per atom



No. 5
Here is an optimized crystal structure of TeAsIr2 from the Alexandria database. Energies are from PBE.

Cell: 2.9725 5.0482 4.6864 Å, 90.00 90.00 90.00°
Last column: nearest neighbours and their distance in Å.
Fractional coordinates of all 4 atoms:
As1 0.0000 0.5000 0.5000  4 Ir 2.77, 4 Te 2.93, 2 As 2.97
Ir1 0.0000 0.0000 0.0000  4 Te 2.77, 6 Ir 2.93-2.97
Ir2 0.5000 0.5000 0.0000  4 As 2.77, 6 Ir 2.93-2.97
Te1 0.5000 0.0000 0.5000  4 Ir 2.77, 4 As 2.93, 2 Te 2.97

E_tot = -23.05 eV per cell
Space-group type = Pmmm (47)
Formation energy without anion corrections = 2.5 eV per formula unit
N(E_F) = 0.7741 states/eV per atom



No. 6
Here is an optimized crystal structure of Cd2RePb from the Alexandria database. Energies are from PBE.

Cell: 10.8928 10.8928 10.8928 Å, 16.07 16.07 16.07°
Last column: nearest neighbours and their distance in Å.
Fractional coordinates of all 4 atoms:
Pb1 0.2500 0.2500 0.2500  6 Pb 3.05
Re1 0.7500 0.7500 0.7500  6 Cd 2.93, 6 Re 3.05
Cd1 0.0107 0.0107 0.0107  3 Re 2.93, 6 Cd 3.05
Cd2 0.4893 0.4893 0.4893  3 Re 2.93, 6 Cd 3.05

E_tot = -15.62 eV per cell
Space-group type = R-3m (166)
Energy of formation from the pure elements = 0.592 eV per atom
N(E_F) = 0.7990 states/eV per atom



No. 7
Here is an optimized crystal structure of VOs2 from the Alexandria database. Energies are from PBE.

Cell: 4.3516 4.7667 8.1574 Å, 90.00 90.00 90.00°
Last column: nearest neighbours and their distance in Å.
Fractional coordinates of all 12 atoms:
V1 0.7500 0.8556 0.1605  10 Os 2.64-2.79, 2 V 2.79
V2 0.2500 0.6444 0.6605  10 Os 2.64-2.79, 2 V 2.79
V3 0.7500 0.3556 0.3395  10 Os 2.64-2.79, 2 V 2.79
V4 0.2500 0.1444 0.8395  10 Os 2.64-2.79, 2 V 2.79
Os1 0.7500 0.8302 0.8290  5 V 2.64-2.72, 7 Os 2.68-2.79
Os2 0.7500 0.8383 0.5003  5 V 2.65-2.79, 7 Os 2.67-2.79
Os3 0.2500 0.6617 0.0003  5 V 2.65-2.79, 7 Os 2.67-2.79
Os4 0.2500 0.6698 0.3290  5 V 2.64-2.72, 7 Os 2.68-2.79
Os5 0.7500 0.3302 0.6710  5 V 2.64-2.72, 7 Os 2.68-2.79
Os6 0.7500 0.3383 0.9997  5 V 2.65-2.79, 7 Os 2.67-2.79
Os7 0.2500 0.1617 0.4997  5 V 2.65-2.79, 7 Os 2.67-2.79
Os8 0.2500 0.1698 0.1710  5 V 2.64-2.72, 7 Os 2.68-2.79

E_tot = -127.31 eV per cell
Space-group type = Pnma (62)
Energy of formation from the pure elements = -0.083 eV per atom
N(E_F) = 1.1081 states/eV per atom



No. 8
Here is an optimized crystal structure of NaTe4AsPb2 from the Alexandria database. Energies are from PBE.

Cell: 8.9243 8.9243 9.0143 Å, 120.34 120.34 89.58°
Last column: nearest neighbours and their distance in Å.
Fractional coordinates of all 16 atoms:
Na1 0.0000 0.5000 0.0000  6 Te 3.10-3.14
Na2 0.0000 0.5000 0.5000  6 Te 3.10-3.14
Te1 0.2319 0.7575 0.9947  1 As 2.98, 2 Na 3.14, 3 Pb 3.20-3.30
Te2 0.7425 0.2681 0.5053  1 As 2.98, 2 Na 3.14, 3 Pb 3.20-3.30
Te3 0.2575 0.7319 0.4947  1 As 2.98, 2 Na 3.14, 3 Pb 3.20-3.30
Te4 0.7681 0.2425 0.0053  1 As 2.98, 2 Na 3.14, 3 Pb 3.20-3.30
Te5 0.7541 0.7458 0.9740  2 As 3.00-3.01, 1 Na 3.10, 3 Pb 3.20-3.34
Te6 0.7542 0.7459 0.5260  2 As 3.00-3.01, 1 Na 3.10, 3 Pb 3.20-3.34
Te7 0.2458 0.2541 0.4740  2 As 3.00-3.01, 1 Na 3.10, 3 Pb 3.20-3.34
Te8 0.2459 0.2542 0.0260  2 As 3.00-3.01, 1 Na 3.10, 3 Pb 3.20-3.34
As1 0.5000 0.5000 0.5000  6 Te 2.98-3.01
As2 0.0000 0.0000 0.0000  6 Te 2.98-3.01
Pb1 0.5000 0.0000 0.0000  6 Te 3.20
Pb2 0.5000 0.0000 0.5000  6 Te 3.20
Pb3 0.0000 0.0000 0.5000  6 Te 3.30-3.34
Pb4 0.5000 0.5000 0.0000  6 Te 3.30-3.34

E_tot = -56.94 eV per cell
Space-group type = Imma (74)
Formation energy without anion corrections = -2.5 eV per formula unit
N(E_F) = 0.2496 states/eV per atom